Record 1
Compound: Pm2TmUSb4
Source: Alexandria via LeMat-Bulk
Functional: PBE
Structure: relaxed

Results
**Formation energy (no corrections)**: -0.897 eV/atom

Unit cell a=7.654 b=4.403 c=7.690 alpha=90.00 beta=109.09 gamma=90.00
Sites, in units of the cell vectors:
Pm (0.000, 0.000, 0.000)
Pm (0.000, 0.500, 0.500)
Tm (0.500, 0.000, 0.500)
U (0.500, 0.500, 0.000)
Sb (0.258, 0.000, 0.751)
Sb (0.261, 0.500, 0.254)
Sb (0.739, 0.500, 0.746)
Sb (0.742, 0.000, 0.249)



Record 2
Compound: CsAc4
Source: Alexandria via LeMat-Bulk
Functional: PBE
Structure: relaxed

Results
**Energy of formation from the pure elements**: 0.84 eV/atom

Unit cell a=6.313 b=6.313 c=6.313 alpha=90.00 beta=90.00 gamma=90.00
Sites, in units of the cell vectors:
Cs (0.000, 0.000, 0.000)
Ac (0.000, 0.000, 0.500)
Ac (0.000, 0.500, 0.000)
Ac (0.500, 0.000, 0.000)
Ac (0.500, 0.500, 0.500)



Record 3
Compound: Ce4GeSe2S
Source: Alexandria via LeMat-Bulk
Functional: PBE
Structure: relaxed

Results
**Formation energy (no corrections)**: -1.614 eV/atom

Unit cell a=8.344 b=8.344 c=8.344 alpha=120.19 beta=90.01 gamma=119.80
Sites, in units of the cell vectors:
Ce (0.239, 0.990, 0.749)
Ce (0.242, 0.490, 0.251)
Ce (0.246, 0.002, 0.247)
Ce (0.246, 0.498, 0.744)
Ce (0.754, 0.502, 0.256)
Ce (0.754, 0.998, 0.753)
Ce (0.758, 0.509, 0.748)
Ce (0.761, 0.009, 0.252)
Ge (0.000, 0.000, 0.500)
Ge (0.500, 0.500, 0.500)
Se (0.000, 0.500, 0.000)
Se (0.500, 0.000, 0.000)
Se (0.500, 0.000, 0.500)
Se (0.500, 0.500, 0.000)
S (0.000, 0.000, 0.000)
S (0.000, 0.500, 0.500)



Record 4
Compound: Pm4SnSe2S
Source: Alexandria via LeMat-Bulk
Functional: PBE
Structure: relaxed

Results
**Formation energy (no corrections)**: -1.597 eV/atom

Unit cell a=7.348 b=4.245 c=7.375 alpha=90.00 beta=109.55 gamma=90.00
Sites, in units of the cell vectors:
Pm (0.237, 0.000, 0.242)
Pm (0.239, 0.500, 0.747)
Pm (0.761, 0.500, 0.253)
Pm (0.763, 0.000, 0.758)
Sn (0.500, 0.000, 0.000)
Se (0.000, 0.000, 0.500)
Se (0.500, 0.500, 0.500)
S (0.000, 0.500, 0.000)



Record 5
Compound: Pr5Y4Tl4
Source: Alexandria via LeMat-Bulk
Functional: PBE
Structure: relaxed

Results
**Energy of formation from the pure elements**: -0.26 eV/atom

Unit cell a=9.344 b=9.344 c=9.344 alpha=94.32 beta=94.32 gamma=148.15
Sites, in units of the cell vectors:
Pr (0.000, 0.000, 0.000)
Pr (0.308, 0.605, 0.913)
Pr (0.395, 0.308, 0.704)
Pr (0.605, 0.692, 0.296)
Pr (0.692, 0.395, 0.087)
Y (0.094, 0.397, 0.491)
Y (0.397, 0.906, 0.303)
Y (0.603, 0.094, 0.697)
Y (0.906, 0.603, 0.509)
Tl (0.098, 0.761, 0.858)
Tl (0.239, 0.098, 0.337)
Tl (0.761, 0.902, 0.663)
Tl (0.902, 0.239, 0.142)



Record 6
Compound: Rb3Cd6As5
Source: Alexandria via LeMat-Bulk
Functional: PBE
Structure: relaxed

Results
**Energy of formation from the pure elements**: -0.27 eV/atom

Unit cell a=4.558 b=14.311 c=11.988 alpha=90.00 beta=90.00 gamma=90.00
Sites, in units of the cell vectors:
Rb (0.250, 0.104, 0.246)
Rb (0.250, 0.396, 0.246)
Rb (0.250, 0.750, 0.254)
Rb (0.750, 0.250, 0.746)
Rb (0.750, 0.604, 0.754)
Rb (0.750, 0.896, 0.754)
Cd (0.250, 0.052, 0.615)
Cd (0.250, 0.250, 0.494)
Cd (0.250, 0.250, 0.977)
Cd (0.250, 0.448, 0.615)
Cd (0.250, 0.581, 0.014)
Cd (0.250, 0.919, 0.014)
Cd (0.750, 0.081, 0.986)
Cd (0.750, 0.419, 0.986)
Cd (0.750, 0.552, 0.385)
Cd (0.750, 0.750, 0.023)
Cd (0.750, 0.750, 0.506)
Cd (0.750, 0.948, 0.385)
As (0.250, 0.074, 0.852)
As (0.250, 0.426, 0.852)
As (0.250, 0.617, 0.503)
As (0.250, 0.750, 0.896)
As (0.250, 0.883, 0.503)
As (0.750, 0.117, 0.497)
As (0.750, 0.250, 0.104)
As (0.750, 0.383, 0.497)
As (0.750, 0.574, 0.148)
As (0.750, 0.926, 0.148)



Record 7
Compound: Ba2LaSc
Source: Alexandria via LeMat-Bulk
Functional: PBE
Structure: relaxed

Results
**E above lowest polymorph**: 0.116 eV per atom
**Energy of formation from the pure elements**: 0.28 eV/atom

Unit cell a=13.996 b=3.941 c=6.670 alpha=90.00 beta=110.18 gamma=90.00
Sites, in units of the cell vectors:
Ba (0.000, 0.000, 0.000)
Ba (0.212, 0.000, 0.653)
Ba (0.500, 0.500, 0.000)
Ba (0.712, 0.500, 0.653)
La (0.272, 0.500, 0.205)
La (0.772, 0.000, 0.205)
Sc (0.466, 0.000, 0.470)
Sc (0.966, 0.500, 0.470)



Record 8
Compound: InAs2SBr
Source: Alexandria via LeMat-Bulk
Functional: PBE
Structure: relaxed

Results
**E above lowest polymorph**: 0.440 eV per atom
**Formation energy (no corrections)**: 0.911 eV/atom

Unit cell a=5.360 b=5.360 c=5.223 alpha=90.00 beta=90.00 gamma=90.00
Sites, in units of the cell vectors:
In (0.000, 0.000, 0.000)
As (0.000, 0.500, 0.000)
As (0.500, 0.000, 0.000)
S (0.500, 0.500, 0.500)
Br (0.000, 0.000, 0.500)



Record 9
Compound: TiCo2
Source: Alexandria via LeMat-Bulk
Functional: PBE
Structure: relaxed

Results
**Energy of formation from the pure elements**: -0.30 eV/atom

Unit cell a=4.692 b=4.692 c=4.692 alpha=60.00 beta=60.00 gamma=60.00
Sites, in units of the cell vectors:
Ti (0.125, 0.125, 0.125)
Ti (0.875, 0.875, 0.875)
Co (0.000, 0.500, 0.500)
Co (0.500, 0.000, 0.500)
Co (0.500, 0.500, 0.000)
Co (0.500, 0.500, 0.500)



Record 10
Compound: PrSc4Cu5
Source: Alexandria via LeMat-Bulk
Functional: PBE
Structure: relaxed

Results
**Energy of formation from the pure elements**: -0.24 eV/atom

Unit cell a=3.299 b=3.299 c=16.900 alpha=90.00 beta=90.00 gamma=90.00
Sites, in units of the cell vectors:
Pr (0.000, 0.000, 0.000)
Sc (0.000, 0.000, 0.212)
Sc (0.000, 0.000, 0.404)
Sc (0.000, 0.000, 0.596)
Sc (0.000, 0.000, 0.788)
Cu (0.500, 0.500, 0.125)
Cu (0.500, 0.500, 0.307)
Cu (0.500, 0.500, 0.500)
Cu (0.500, 0.500, 0.693)
Cu (0.500, 0.500, 0.875)



Record 11
Compound: Ta5Ru
Source: Alexandria via LeMat-Bulk
Functional: PBE
Structure: relaxed

Results
**E above lowest polymorph**: 1.003 eV per atom
**Energy of formation from the pure elements**: 0.80 eV/atom

Unit cell a=5.345 b=5.345 c=4.725 alpha=90.00 beta=90.00 gamma=120.00
Sites, in units of the cell vectors:
Ta (0.000, 0.500, 0.000)
Ta (0.333, 0.667, 0.500)
Ta (0.500, 0.000, 0.000)
Ta (0.500, 0.500, 0.000)
Ta (0.667, 0.333, 0.500)
Ru (0.000, 0.000, 0.500)



Record 12
Compound: PuNbRh4
Source: Alexandria via LeMat-Bulk
Functional: PBE
Structure: relaxed

Results
**Energy of formation from the pure elements**: -0.27 eV/atom

Unit cell a=7.898 b=3.892 c=6.800 alpha=90.00 beta=90.00 gamma=90.00
Sites, in units of the cell vectors:
Pu (0.250, 0.000, 0.157)
Pu (0.750, 0.000, 0.843)
Nb (0.250, 0.000, 0.734)
Nb (0.750, 0.000, 0.266)
Rh (0.000, 0.000, 0.500)
Rh (0.039, 0.500, 0.811)
Rh (0.250, 0.500, 0.456)
Rh (0.461, 0.500, 0.811)
Rh (0.500, 0.000, 0.500)
Rh (0.539, 0.500, 0.189)
Rh (0.750, 0.500, 0.544)
Rh (0.961, 0.500, 0.189)



Record 13
Compound: OsPt4Rh2
Source: Alexandria via LeMat-Bulk
Functional: PBE
Structure: relaxed

Results
**E above lowest polymorph**: 0.000 eV per atom
**Energy of formation from the pure elements**: 0.40 eV/atom

Unit cell a=6.663 b=6.663 c=6.663 alpha=109.23 beta=109.23 gamma=109.95
Sites, in units of the cell vectors:
Os (0.000, 0.000, 0.000)
Os (0.750, 0.250, 0.500)
Pt (0.110, 0.202, 0.745)
Pt (0.115, 0.707, 0.755)
Pt (0.293, 0.048, 0.408)
Pt (0.457, 0.365, 0.255)
Pt (0.635, 0.890, 0.092)
Pt (0.640, 0.885, 0.592)
Pt (0.798, 0.543, 0.908)
Pt (0.952, 0.360, 0.245)
Rh (0.260, 0.625, 0.135)
Rh (0.375, 0.510, 0.635)
Rh (0.490, 0.125, 0.865)
Rh (0.875, 0.740, 0.365)



Record 14
Compound: AlFe2B
Source: Alexandria via LeMat-Bulk
Functional: PBE
Structure: relaxed

Results
**E above lowest polymorph**: 0.015 eV per atom
**Energy of formation from the pure elements**: -0.20 eV/atom

Unit cell a=2.850 b=2.850 c=18.562 alpha=90.00 beta=90.00 gamma=120.00
Sites, in units of the cell vectors:
Al (0.000, 0.000, 0.000)
Al (0.333, 0.667, 0.667)
Al (0.667, 0.333, 0.333)
Fe (0.000, 0.000, 0.560)
Fe (0.000, 0.000, 0.773)
Fe (0.333, 0.667, 0.227)
Fe (0.333, 0.667, 0.439)
Fe (0.667, 0.333, 0.106)
Fe (0.667, 0.333, 0.893)
B (0.000, 0.000, 0.166)
B (0.333, 0.667, 0.833)
B (0.667, 0.333, 0.499)



Record 15
Compound: ZnHRh2
Source: Alexandria via LeMat-Bulk
Functional: PBE
Structure: relaxed

Results
**E above lowest polymorph**: 0.302 eV per atom

Unit cell a=2.736 b=2.736 c=6.162 alpha=90.00 beta=90.00 gamma=90.00
Sites, in units of the cell vectors:
Zn (0.000, 0.000, 0.000)
H (0.000, 0.000, 0.500)
Rh (0.500, 0.500, 0.294)
Rh (0.500, 0.500, 0.706)



Record 16
Compound: DyH8Os2
Source: Alexandria via LeMat-Bulk
Functional: PBE
Structure: relaxed

Unit cell a=4.584 b=4.584 c=4.553 alpha=90.09 beta=90.09 gamma=102.35
Sites, in units of the cell vectors:
Dy (0.000, 0.000, 0.000)
H (0.118, 0.860, 0.500)
H (0.367, 0.367, 0.235)
H (0.367, 0.367, 0.768)
H (0.546, 0.862, 0.251)
H (0.547, 0.861, 0.747)
H (0.860, 0.118, 0.500)
H (0.861, 0.547, 0.747)
H (0.862, 0.546, 0.251)
Os (0.101, 0.471, 0.501)
Os (0.471, 0.101, 0.501)



Record 17
Compound: TaMnRe
Source: Alexandria via LeMat-Bulk
Functional: PBE
Structure: relaxed

Results
**E above lowest polymorph**: 0.013 eV per atom
**Energy of formation from the pure elements**: 0.01 eV/atom

Unit cell a=3.204 b=4.410 c=12.744 alpha=90.00 beta=90.00 gamma=90.00
Sites, in units of the cell vectors:
Ta (0.000, 0.000, 0.000)
Ta (0.000, 0.500, 0.500)
Ta (0.500, 0.000, 0.500)
Ta (0.500, 0.500, 0.000)
Mn (0.000, 0.000, 0.667)
Mn (0.000, 0.500, 0.167)
Mn (0.500, 0.000, 0.167)
Mn (0.500, 0.500, 0.667)
Re (0.000, 0.000, 0.321)
Re (0.000, 0.500, 0.821)
Re (0.500, 0.000, 0.821)
Re (0.500, 0.500, 0.321)



Record 18
Compound: TaMn2Hg
Source: Alexandria via LeMat-Bulk
Functional: PBE
Structure: relaxed

Results
**Energy of formation from the pure elements**: 0.26 eV/atom

Unit cell a=2.844 b=2.844 c=7.483 alpha=90.00 beta=90.00 gamma=90.00
Sites, in units of the cell vectors:
Ta (0.000, 0.000, 0.000)
Mn (0.000, 0.000, 0.591)
Mn (0.500, 0.500, 0.748)
Hg (0.500, 0.500, 0.312)



Record 19
Compound: Al5OsRu4
Source: Alexandria via LeMat-Bulk
Functional: PBE
Structure: relaxed

Results
**Energy of formation from the pure elements**: -0.61 eV/atom

Unit cell a=3.009 b=3.009 c=15.026 alpha=90.00 beta=90.00 gamma=90.00
Sites, in units of the cell vectors:
Al (0.000, 0.000, 0.000)
Al (0.000, 0.000, 0.200)
Al (0.000, 0.000, 0.399)
Al (0.000, 0.000, 0.601)
Al (0.000, 0.000, 0.800)
Os (0.500, 0.500, 0.500)
Ru (0.500, 0.500, 0.100)
Ru (0.500, 0.500, 0.300)
Ru (0.500, 0.500, 0.700)
Ru (0.500, 0.500, 0.900)



Record 20
Compound: GaGe2Pb2
Source: Alexandria via LeMat-Bulk
Functional: PBE
Structure: relaxed

Results
**E above lowest polymorph**: 0.165 eV per atom
**Energy of formation from the pure elements**: 0.30 eV/atom

Unit cell a=8.693 b=8.693 c=3.521 alpha=90.00 beta=90.00 gamma=90.00
Sites, in units of the cell vectors:
Ga (0.000, 0.000, 0.000)
Ga (0.500, 0.500, 0.000)
Ge (0.116, 0.384, 0.500)
Ge (0.384, 0.884, 0.500)
Ge (0.616, 0.116, 0.500)
Ge (0.884, 0.616, 0.500)
Pb (0.172, 0.672, 0.000)
Pb (0.328, 0.172, 0.000)
Pb (0.672, 0.828, 0.000)
Pb (0.828, 0.328, 0.000)



Record 21
Compound: CaTe2P
Source: Alexandria via LeMat-Bulk
Functional: PBE
Structure: relaxed

Results
**Formation energy (no corrections)**: -0.535 eV/atom

Unit cell a=4.354 b=4.354 c=6.285 alpha=90.00 beta=90.00 gamma=90.00
Sites, in units of the cell vectors:
Ca (0.000, 0.000, 0.000)
Te (0.000, 0.000, 0.500)
Te (0.500, 0.500, 0.059)
P (0.500, 0.500, 0.466)



Record 22
Compound: Rb3Tl8Sb3
Source: Alexandria via LeMat-Bulk
Functional: PBE
Structure: relaxed

Results
**E above lowest polymorph**: 0.065 eV per atom
**Formation energy (no corrections)**: -0.088 eV/atom

Unit cell a=10.028 b=10.028 c=10.028 alpha=148.82 beta=96.71 gamma=91.58
Sites, in units of the cell vectors:
Rb (0.000, 0.000, 0.000)
Rb (0.292, 0.292, 0.000)
Rb (0.708, 0.708, 0.000)
Tl (0.016, 0.374, 0.642)
Tl (0.149, 0.861, 0.288)
Tl (0.268, 0.626, 0.642)
Tl (0.427, 0.139, 0.288)
Tl (0.573, 0.861, 0.712)
Tl (0.732, 0.374, 0.358)
Tl (0.851, 0.139, 0.712)
Tl (0.984, 0.626, 0.358)
Sb (0.338, 0.500, 0.838)
Sb (0.500, 0.000, 0.500)
Sb (0.662, 0.500, 0.162)



Record 23
Compound: Ba3GeH
Source: Alexandria via LeMat-Bulk
Functional: PBE
Structure: relaxed

Results
**E above lowest polymorph**: 0.000 eV per atom

Unit cell a=8.486 b=5.150 c=9.320 alpha=90.00 beta=94.39 gamma=90.00
Sites, in units of the cell vectors:
Ba (0.045, 0.250, 0.183)
Ba (0.307, 0.750, 0.461)
Ba (0.369, 0.250, 0.867)
Ba (0.631, 0.750, 0.133)
Ba (0.693, 0.250, 0.539)
Ba (0.955, 0.750, 0.817)
Ge (0.424, 0.250, 0.249)
Ge (0.576, 0.750, 0.751)
H (0.047, 0.250, 0.897)
H (0.953, 0.750, 0.103)



Record 24
Compound: CrFeMo
Source: Alexandria via LeMat-Bulk
Functional: PBE
Structure: relaxed

Results
**E above lowest polymorph**: 0.650 eV per atom
**Energy of formation from the pure elements**: 0.66 eV/atom

Unit cell a=5.580 b=5.580 c=5.580 alpha=90.00 beta=90.00 gamma=90.00
Sites, in units of the cell vectors:
Cr (0.000, 0.000, 0.000)
Cr (0.000, 0.500, 0.500)
Cr (0.500, 0.000, 0.500)
Cr (0.500, 0.500, 0.000)
Fe (0.250, 0.250, 0.750)
Fe (0.250, 0.750, 0.250)
Fe (0.750, 0.250, 0.250)
Fe (0.750, 0.750, 0.750)
Mo (0.000, 0.000, 0.500)
Mo (0.000, 0.500, 0.000)
Mo (0.500, 0.000, 0.000)
Mo (0.500, 0.500, 0.500)



| no. | uncorrected energy (eV per atom) |
| --- | --- |
| 1 | -6.116 |
| 2 | -2.614 |
| 3 | -6.545 |
| 4 | -5.859 |
| 5 | -4.814 |
| 6 | -2.530 |
| 7 | -3.494 |
| 8 | -2.656 |
| 9 | -7.671 |
| 10 | -5.296 |
| 11 | -10.628 |
| 12 | -9.237 |
| 13 | -6.757 |
| 14 | -7.037 |
| 15 | -4.676 |
| 16 | -4.967 |
| 17 | -11.142 |
| 18 | -7.366 |
| 19 | -7.310 |
| 20 | -3.638 |
| 21 | -3.958 |
| 22 | -2.531 |
| 23 | -3.127 |
| 24 | -8.983 |